A plane-wave DFT calculation with PBE was carried out for a geometry-optimized ZnCoSb2 structure.

The structure belongs to space group C2/m (No. 12); the cell edges are 6.481, 3.766 and 7.087 Å and the angles 90.00°, 107.88° and 90.00°. Symmetry generates all atoms from Zn at (0.000, 0.000, 0.000), Co at (0.000, 0.500, 0.500) and Sb at (0.234, 0.000, 0.702).

As for the total energy: -4.0910 eV/atom. As for the uncorrected formation energy: 0.07 eV/atom. The magnetization comes out at 0.000 μB per atom. The density of states at the Fermi level is 4.4 states/eV/cell. As for the density: 7.4 g/cm3.